No. 1
Density functional theory data (PBE) for a relaxed structure of BaPuPbO6.

It has space group P-31c (No. 163), with a = 6.1345 Å, b = 6.1345 Å, c = 10.5241 Å, α = 90.00°, β = 90.00° and γ = 120.00°. The asymmetric unit holds Ba at (0.0000, 0.0000, 0.0000), Pu at (0.3333, 0.6667, 0.2500), Pb at (0.3333, 0.6667, 0.7500) and O at (0.0589, 0.4012, 0.1452).

As for the formation energy (no corrections): -2074 meV/atom. Its calculated density is 6628 kg/m³.

No. 2
Density functional theory data (PBE) for a relaxed structure of Cu4PRu.

It has space group F-43m (No. 216), with a = 6.756 Å, b = 6.756 Å, c = 6.756 Å, α = 90.00°, β = 90.00° and γ = 90.00°. The asymmetric unit holds Cu at (0.125, 0.125, 0.125), P at (0.000, 0.000, 0.500) and Ru at (0.250, 0.250, 0.750).

Its calculated density is 8320 kg/m³. The formation energy is 0.39 eV/atom.

No. 3
Density functional theory data (PBE) for a relaxed structure of FeCoCl2.

It has space group I-4m2 (No. 119), with a = 3.439 Å, b = 3.439 Å, c = 11.123 Å, α = 90.00°, β = 90.00° and γ = 90.00°. The asymmetric unit holds Fe at (0.000, 0.000, 0.000), Co at (0.000, 0.500, 0.250), Cl at (0.000, 0.000, 0.500) and Cl at (0.000, 0.500, 0.750).

As for the formation energy (no corrections): 345 meV/atom. Its calculated density is 4688 kg/m³.

No. 4
Density functional theory data (PBE) for a relaxed structure of Hf2IrPtAu.

It has space group P4/mmm (No. 123), with a = 4.948 Å, b = 4.948 Å, c = 4.831 Å, α = 90.00°, β = 90.00° and γ = 90.00°. The asymmetric unit holds Hf at (0.000, 0.500, 0.000), Ir at (0.000, 0.000, 0.500), Pt at (0.000, 0.000, 0.000) and Au at (0.500, 0.500, 0.500).

Its calculated density is 13215 kg/m³. The formation energy is 0.58 eV/atom.

No. 5
Density functional theory data (PBE) for a relaxed structure of PmPu3Pt8.

It has space group P3m1 (No. 156), with a = 5.4693 Å, b = 5.4693 Å, c = 8.9605 Å, α = 90.00°, β = 90.00° and γ = 120.00°. The asymmetric unit holds Pm at (0.0000, 0.0000, 0.0000), Pu at (0.0000, 0.0000, 0.3765), Pu at (0.6667, 0.3333, 0.4923), Pu at (0.6667, 0.3333, 0.8589), Pt at (0.1647, 0.3294, 0.6812), Pt at (0.3333, 0.6667, 0.4306), Pt at (0.3333, 0.6667, 0.9312) and Pt at (0.5025, 0.0050, 0.1817).

Its calculated density is 17438 kg/m³. The formation energy is -0.84 eV/atom.

No. 6
Density functional theory data (PBE) for a relaxed structure of BaAg3Hg.

It has space group I4mm (No. 107), with a = 4.591 Å, b = 4.591 Å, c = 12.586 Å, α = 90.00°, β = 90.00° and γ = 90.00°. The asymmetric unit holds Ba at (0.000, 0.000, 0.000), Ag at (0.000, 0.000, 0.611), Ag at (0.000, 0.500, 0.243) and Hg at (0.000, 0.000, 0.384).

As for the energy above the most stable polymorph in this dataset: 0 meV/atom. Its calculated density is 8283 kg/m³. The formation energy is -0.19 eV/atom.